[1]
! Pm2NdYEr (PBE-GGA, relaxed); values from VASP
! SG	Cmcm
! ΔE_f	0.405	eV per atom
&SYSTEM
  ibrav = 0, nat = 10, ntyp = 4
/
ATOMIC_SPECIES
Er 167.26 Er.upf
Nd 144.24 Nd.upf
Pm 145.00 Pm.upf
Y 88.91 Y.upf
ATOMIC_POSITIONS angstrom
Er 1.3992 2.0002 2.6927
Nd -1.3714 -0.1471 5.1109
Pm -1.4863 -1.2833 1.7255
Pm -3.3188 -2.8656 3.8531
Er -2.9142 2.9943 6.1183
Y 0.8014 0.2829 7.3022
Nd -0.1437 5.1415 3.7001
Pm -4.9077 0.2666 4.8140
Pm -3.0752 1.8489 2.6864
Y -2.3164 4.7116 1.5088
CELL_PARAMETERS angstrom
-3.1778 6.2644 1.9217
-4.8051 -4.1489 5.5787
6.4679 2.8789 1.3106

---

[2]
! La2HoIn2 (PBE-GGA, relaxed); values from VASP
! SG	Immm
! ΔE_f	-0.392	eV per atom
! polymorph energy (0 for the lowest one)	0	meV/atom
&SYSTEM
  ibrav = 0, nat = 5, ntyp = 3
/
ATOMIC_SPECIES
In 114.82 In.upf
La 138.91 La.upf
Ho 164.93 Ho.upf
ATOMIC_POSITIONS angstrom
In 5.1111 2.4760 3.8191
In 5.1111 4.3427 1.3629
La 7.6667 4.6940 3.5673
Ho 0.0000 0.0000 0.0000
La 2.5556 2.1247 1.6147
CELL_PARAMETERS angstrom
5.1111 0.0000 0.0000
2.5556 5.5749 -0.2586
2.5556 1.2438 5.4405

---

[3]
! MgAgPbCl6 (PBE-GGA, relaxed); values from VASP
! raw formation energy	-1.046	eV per atom
! SG	P-31c
&SYSTEM
  ibrav = 0, nat = 18, ntyp = 4
/
ATOMIC_SPECIES
Cl 35.45 Cl.upf
Pb 207.20 Pb.upf
Ag 107.87 Ag.upf
Mg 24.30 Mg.upf
ATOMIC_POSITIONS angstrom
Cl -2.7434 -1.5473 3.9558
Pb -4.9269 -4.8435 7.0235
Cl -4.0629 -4.3220 2.1220
Cl -4.3226 0.7303 1.5958
Cl -2.0612 -1.7897 0.4391
Cl -3.3905 -4.3529 9.2762
Cl -3.6502 0.6993 8.7501
Ag -0.7588 -3.0494 5.1599
Cl -5.6519 -1.8329 10.4330
Cl -6.2570 -1.7592 3.3139
Pb -2.7861 1.2209 3.8486
Cl -4.9697 -2.0753 6.9163
Cl -5.5615 -2.0765 -0.2451
Mg -4.1681 -1.7941 1.8636
Cl -1.4561 -1.8634 7.5582
Cl -2.1516 -1.5461 11.1172
Mg -3.5450 -1.8285 9.0085
Ag 0.0000 0.0000 0.0000
CELL_PARAMETERS angstrom
-1.0248 5.7605 3.2536
-5.1706 -3.2843 -2.7014
-1.5177 -6.0988 10.3198

---

[4]
! SrNbGe2 (PBE-GGA, relaxed); values from VASP
! SG	R-3m
! ΔE_f	-0.226	eV per atom
&SYSTEM
  ibrav = 0, nat = 4, ntyp = 3
/
ATOMIC_SPECIES
Nb 92.91 Nb.upf
Sr 87.62 Sr.upf
Ge 72.64 Ge.upf
ATOMIC_POSITIONS angstrom
Nb 0.0000 0.0000 0.0000
Sr 3.8118 2.2008 3.7310
Ge 5.7177 3.3011 5.9367
Ge 1.9059 1.1004 1.5252
CELL_PARAMETERS angstrom
3.8118 0.0000 0.0000
1.9059 3.3011 0.0000
1.9059 1.1004 7.4619